No. 1
Entry from Alexandria: a geometry-optimized ReIr4Cl structure (PBE-GGA).

Output
E_form (uncorrected)   1.104 eV/atom

a = 7.327 Å, b = 7.327 Å, c = 7.327 Å
α = 90.00°, β = 90.00°, γ = 90.00°
Space group F-43m (No. 216)
Asymmetric unit:
Re: 0.000 0.000 0.000 (multiplicity 4)
Ir: 0.125 0.125 0.375 (multiplicity 16)
Cl: 0.250 0.250 0.750 (multiplicity 4)

No. 2
Entry from Alexandria: a geometry-optimized Re2IrCl structure (PBE-GGA).

Output
E_form (uncorrected)   0.677 eV/atom

a = 2.827 Å, b = 4.078 Å, c = 5.461 Å
α = 90.00°, β = 104.95°, γ = 90.00°
Space group Pm (No. 6)
Asymmetric unit:
Re: 0.000 0.000 0.000 (multiplicity 1)
Re: 0.369 0.500 0.780 (multiplicity 1)
Ir: 0.738 0.000 0.504 (multiplicity 1)
Cl: 0.398 0.500 0.211 (multiplicity 1)

No. 3
Entry from Alexandria: a geometry-optimized ReIrCl2 structure (PBE-GGA).

Output
E_form (uncorrected)   0.951 eV/atom

a = 2.902 Å, b = 4.284 Å, c = 5.068 Å
α = 90.00°, β = 94.15°, γ = 90.00°
Space group P2/m (No. 10)
Asymmetric unit:
Re: 0.000 0.000 0.000 (multiplicity 1)
Ir: 0.500 0.000 0.500 (multiplicity 1)
Cl: 0.217 0.500 0.246 (multiplicity 2)

No. 4
Entry from Alexandria: a geometry-optimized ReIrCl2 structure (PBE-GGA).

Output
E_form (uncorrected)   0.912 eV/atom

a = 2.857 Å, b = 5.065 Å, c = 9.984 Å
α = 90.00°, β = 90.00°, γ = 90.00°
Space group Imm2 (No. 44)
Asymmetric unit:
Re: 0.000 0.000 0.000 (multiplicity 2)
Ir: 0.000 0.500 0.296 (multiplicity 2)
Cl: 0.000 0.000 0.526 (multiplicity 2)
Cl: 0.000 0.500 0.704 (multiplicity 2)

No. 5
Entry from Alexandria: a geometry-optimized Re3IrCl structure (PBE-GGA).

Output
E_form (uncorrected)   1.670 eV/atom

a = 4.300 Å, b = 4.300 Å, c = 4.300 Å
α = 90.00°, β = 90.00°, γ = 90.00°
Space group Pm-3m (No. 221)
Asymmetric unit:
Re: 0.000 0.000 0.500 (multiplicity 3)
Ir: 0.500 0.500 0.500 (multiplicity 1)
Cl: 0.000 0.000 0.000 (multiplicity 1)

No. 6
Entry from Alexandria: a geometry-optimized ReIrCl2 structure (PBE-GGA).

Output
E_form (uncorrected)   0.868 eV/atom

a = 2.798 Å, b = 5.139 Å, c = 11.213 Å
α = 90.00°, β = 90.00°, γ = 90.00°
Space group Cmmm (No. 65)
Asymmetric unit:
Re: 0.000 0.000 0.000 (multiplicity 2)
Ir: 0.000 0.000 0.500 (multiplicity 2)
Cl: 0.000 0.500 0.174 (multiplicity 4)

No. 7
Entry from Alexandria: a geometry-optimized Re2IrCl structure (PBE-GGA).

Output
E_form (uncorrected)   0.776 eV/atom

a = 2.756 Å, b = 4.911 Å, c = 9.179 Å
α = 90.00°, β = 90.00°, γ = 90.00°
Space group Cmmm (No. 65)
Asymmetric unit:
Re: 0.000 0.000 0.250 (multiplicity 4)
Ir: 0.000 0.500 0.000 (multiplicity 2)
Cl: 0.000 0.500 0.500 (multiplicity 2)

No. 8
Entry from Alexandria: a geometry-optimized ReIrCl2 structure (PBE-GGA).

Output
E_form (uncorrected)   1.042 eV/atom

a = 4.114 Å, b = 4.114 Å, c = 15.670 Å
α = 90.00°, β = 90.00°, γ = 90.00°
Space group I-42d (No. 122)
Asymmetric unit:
Re: 0.000 0.000 0.000 (multiplicity 4)
Ir: 0.000 0.000 0.500 (multiplicity 4)
Cl: 0.240 0.250 0.125 (multiplicity 8)

No. 9
Entry from Alexandria: a geometry-optimized Re2IrCl structure (PBE-GGA).

Output
E_form (uncorrected)   0.468 eV/atom

a = 2.8239 Å, b = 2.8239 Å, c = 25.8261 Å
α = 90.00°, β = 90.00°, γ = 120.00°
Space group R-3m (No. 166, hexagonal axes)
Asymmetric unit:
Re: 0.0000 0.0000 0.2492 (multiplicity 6)
Ir: 0.0000 0.0000 0.0000 (multiplicity 3)
Cl: 0.0000 0.0000 0.5000 (multiplicity 3)

No. 10
Entry from Alexandria: a geometry-optimized ReIrCl2 structure (PBE-GGA).

Output
E_form (uncorrected)   1.477 eV/atom

a = 3.986 Å, b = 3.986 Å, c = 7.861 Å
α = 90.00°, β = 90.00°, γ = 90.00°
Space group I4/mmm (No. 139)
Asymmetric unit:
Re: 0.000 0.000 0.000 (multiplicity 2)
Ir: 0.000 0.000 0.500 (multiplicity 2)
Cl: 0.000 0.500 0.250 (multiplicity 4)

No. 11
Entry from Alexandria: a geometry-optimized ReIrCl2 structure (PBE-GGA).

Output
E_form (uncorrected)   1.092 eV/atom

a = 6.387 Å, b = 6.387 Å, c = 6.387 Å
α = 90.00°, β = 90.00°, γ = 90.00°
Space group F-43m (No. 216)
Asymmetric unit:
Re: 0.000 0.000 0.000 (multiplicity 4)
Ir: 0.250 0.250 0.250 (multiplicity 4)
Cl: 0.000 0.000 0.500 (multiplicity 4)
Cl: 0.250 0.250 0.750 (multiplicity 4)

No. 12
Entry from Alexandria: a geometry-optimized ReIrCl2 structure (PBE-GGA).

Output
E_form (uncorrected)   1.495 eV/atom

a = 2.895 Å, b = 3.720 Å, c = 5.738 Å
α = 90.00°, β = 90.00°, γ = 90.00°
Space group Pmmm (No. 47)
Asymmetric unit:
Re: 0.000 0.000 0.000 (multiplicity 1)
Ir: 0.000 0.000 0.500 (multiplicity 1)
Cl: 0.500 0.500 0.240 (multiplicity 2)

No. 13
Entry from Alexandria: a geometry-optimized Re2IrCl structure (PBE-GGA).

Output
E_form (uncorrected)   0.835 eV/atom

a = 2.826 Å, b = 4.642 Å, c = 9.093 Å
α = 90.00°, β = 90.00°, γ = 90.00°
Space group Imm2 (No. 44)
Asymmetric unit:
Re: 0.000 0.000 0.000 (multiplicity 2)
Re: 0.000 0.500 0.245 (multiplicity 2)
Ir: 0.000 0.000 0.483 (multiplicity 2)
Cl: 0.000 0.500 0.729 (multiplicity 2)

No. 14
Entry from Alexandria: a geometry-optimized Re2IrCl structure (PBE-GGA).

Output
E_form (uncorrected)   1.127 eV/atom

a = 5.214 Å, b = 8.855 Å, c = 2.795 Å
α = 90.00°, β = 107.96°, γ = 90.00°
Space group C2/m (No. 12)
Asymmetric unit:
Re: 0.250 0.250 0.000 (multiplicity 4)
Ir: 0.000 0.000 0.500 (multiplicity 2)
Cl: 0.000 0.500 0.500 (multiplicity 2)

No. 15
Entry from Alexandria: a geometry-optimized ReIrCl2 structure (PBE-GGA).

Output
E_form (uncorrected)   0.778 eV/atom

a = 2.9426 Å, b = 2.9426 Å, c = 25.4368 Å
α = 90.00°, β = 90.00°, γ = 120.00°
Space group R-3m (No. 166, hexagonal axes)
Asymmetric unit:
Re: 0.0000 0.0000 0.0000 (multiplicity 3)
Ir: 0.0000 0.0000 0.5000 (multiplicity 3)
Cl: 0.0000 0.0000 0.4085 (multiplicity 6)

No. 16
Entry from Alexandria: a geometry-optimized ReIrCl2 structure (PBE-GGA).

Output
E_form (uncorrected)   0.489 eV/atom

a = 2.840 Å, b = 4.589 Å, c = 13.930 Å
α = 90.00°, β = 90.00°, γ = 90.00°
Space group Immm (No. 71)
Asymmetric unit:
Re: 0.000 0.000 0.000 (multiplicity 2)
Ir: 0.000 0.000 0.500 (multiplicity 2)
Cl: 0.000 0.500 0.357 (multiplicity 4)

No. 17
Entry from Alexandria: a geometry-optimized ReIrCl2 structure (PBE-GGA).

Output
E_form (uncorrected)   1.422 eV/atom

a = 2.862 Å, b = 2.862 Å, c = 8.719 Å
α = 90.00°, β = 90.00°, γ = 90.00°
Space group P4/mmm (No. 123)
Asymmetric unit:
Re: 0.000 0.000 0.000 (multiplicity 1)
Ir: 0.000 0.000 0.500 (multiplicity 1)
Cl: 0.500 0.500 0.180 (multiplicity 2)

No. 18
Entry from Alexandria: a geometry-optimized ReIrCl2 structure (PBE-GGA).

Output
E_form (uncorrected)   0.052 eV/atom

a = 6.247 Å, b = 3.609 Å, c = 8.782 Å
α = 90.00°, β = 103.13°, γ = 90.00°
Space group Cm (No. 8)
Asymmetric unit:
Re: 0.000 0.000 0.000 (multiplicity 2)
Ir: 0.289 0.000 0.861 (multiplicity 2)
Cl: 0.205 0.000 0.597 (multiplicity 2)
Cl: 0.230 0.500 0.199 (multiplicity 2)

No. 19
Entry from Alexandria: a geometry-optimized ReIrCl3 structure (PBE-GGA).

Output
E_form (uncorrected)   1.160 eV/atom

a = 4.862 Å, b = 4.862 Å, c = 4.862 Å
α = 90.00°, β = 90.00°, γ = 90.00°
Space group Pm-3m (No. 221)
Asymmetric unit:
Re: 0.000 0.000 0.000 (multiplicity 1)
Ir: 0.500 0.500 0.500 (multiplicity 1)
Cl: 0.000 0.500 0.500 (multiplicity 3)

No. 20
Entry from Alexandria: a geometry-optimized ReIrCl2 structure (PBE-GGA).

Output
E_form (uncorrected)   0.455 eV/atom

a = 2.834 Å, b = 5.302 Å, c = 9.926 Å
α = 90.00°, β = 90.00°, γ = 90.00°
Space group Cmm2 (No. 35)
Asymmetric unit:
Re: 0.000 0.000 0.000 (multiplicity 2)
Ir: 0.000 0.500 0.219 (multiplicity 2)
Cl: 0.000 0.000 0.434 (multiplicity 2)
Cl: 0.000 0.500 0.800 (multiplicity 2)